Record 1
ScTl2Tc | SCAN | single point on PBEsol structure

Results
- ΔE_f (meV per atom) = 129.2
- total DFT energy (no corrections) (eV per atom) = -48.37
- crystal system = orthorhombic
- relative energy among the computed polymorphs (eV per atom) = 0.046
- DOS(E_F) (states/eV/f.u.) = 1.6

abc: 3.713 4.692 9.002
angles: 90.00 90.00 90.00
Positions (direct):
1 Sc 0.000 0.000 0.000
2 Sc 0.500 0.500 0.500
3 Tl 0.000 0.500 0.242
4 Tl 0.000 0.500 0.758
5 Tl 0.500 0.000 0.258
6 Tl 0.500 0.000 0.742
7 Tc 0.000 0.000 0.500
8 Tc 0.500 0.500 0.000

***

Record 2
ScTl2Tc | SCAN | single point on PBEsol structure

Results
- ΔE_f (meV per atom) = 213.4
- total DFT energy (no corrections) (eV per atom) = -48.29
- crystal system = monoclinic
- relative energy among the computed polymorphs (eV per atom) = 0.130
- DOS(E_F) (states/eV/f.u.) = 2.2

abc: 3.045 4.610 5.841
angles: 90.00 104.70 90.00
Positions (direct):
1 Sc 0.000 0.000 0.000
2 Tl 0.409 0.500 0.739
3 Tl 0.591 0.500 0.261
4 Tc 0.000 0.000 0.500

***

Record 3
ScTl2Tc | SCAN | single point on PBEsol structure

Results
- ΔE_f (meV per atom) = 83.3
- total DFT energy (no corrections) (eV per atom) = -48.42
- crystal system = tetragonal
- relative energy among the computed polymorphs (eV per atom) = 0.000
- DOS(E_F) (states/eV/f.u.) = 1.8

abc: 4.309 4.309 8.241
angles: 90.00 90.00 90.00
Positions (direct):
1 Sc 0.000 0.000 0.000
2 Sc 0.500 0.500 0.500
3 Tl 0.000 0.500 0.250
4 Tl 0.000 0.500 0.750
5 Tl 0.500 0.000 0.250
6 Tl 0.500 0.000 0.750
7 Tc 0.000 0.000 0.500
8 Tc 0.500 0.500 0.000

***

Record 4
Sc2TcW | SCAN | single point on PBEsol structure

Results
- ΔE_f (meV per atom) = -112.1
- total DFT energy (no corrections) (eV per atom) = -33.42
- crystal system = tetragonal
- relative energy among the computed polymorphs (eV per atom) = 0.000
- DOS(E_F) (states/eV/f.u.) = 1.7

abc: 3.123 3.123 7.553
angles: 90.00 90.00 90.00
Positions (direct):
1 Sc 0.000 0.000 0.000
2 Sc 0.500 0.500 0.343
3 Tc 0.000 0.000 0.565
4 W 0.500 0.500 0.755

***

Record 5
ScTcW | SCAN | single point on PBEsol structure

Results
- ΔE_f (meV per atom) = 108.7
- total DFT energy (no corrections) (eV per atom) = -39.55
- crystal system = orthorhombic
- relative energy among the computed polymorphs (eV per atom) = 0.255
- DOS(E_F) (states/eV/f.u.) = 2.5

abc: 3.142 4.592 13.515
angles: 90.00 90.00 90.00
Positions (direct):
1 Sc 0.000 0.000 0.000
2 Sc 0.000 0.500 0.500
3 Sc 0.500 0.000 0.500
4 Sc 0.500 0.500 0.000
5 Tc 0.000 0.000 0.667
6 Tc 0.000 0.500 0.167
7 Tc 0.500 0.000 0.167
8 Tc 0.500 0.500 0.667
9 W 0.000 0.000 0.319
10 W 0.000 0.500 0.819
11 W 0.500 0.000 0.819
12 W 0.500 0.500 0.319

***

Record 6
ScTc3W | SCAN | single point on PBEsol structure

Results
- ΔE_f (meV per atom) = 1154.0
- total DFT energy (no corrections) (eV per atom) = -36.67
- crystal system = cubic
- DOS(E_F) (states/eV/f.u.) = 6.6

abc: 4.633 4.633 4.633
angles: 90.00 90.00 90.00
Positions (direct):
1 Sc 0.000 0.000 0.000
2 Tc 0.000 0.500 0.500
3 Tc 0.500 0.000 0.500
4 Tc 0.500 0.500 0.000
5 W 0.500 0.500 0.500

***

Record 7
ScTcW2 | SCAN | single point on PBEsol structure

Results
- ΔE_f (meV per atom) = 270.7
- total DFT energy (no corrections) (eV per atom) = -46.90
- crystal system = tetragonal
- relative energy among the computed polymorphs (eV per atom) = 0.365
- DOS(E_F) (states/eV/f.u.) = 2.6

abc: 3.737 3.737 4.641
angles: 90.00 90.00 90.00
Positions (direct):
1 Sc 0.000 0.000 0.000
2 Tc 0.500 0.500 0.000
3 W 0.000 0.500 0.500
4 W 0.500 0.000 0.500

***

Record 8
ScTcW | SCAN | single point on PBEsol structure

Results
- ΔE_f (meV per atom) = 545.4
- total DFT energy (no corrections) (eV per atom) = -39.12
- crystal system = cubic
- relative energy among the computed polymorphs (eV per atom) = 0.692
- DOS(E_F) (states/eV/f.u.) = 2.7

abc: 6.075 6.075 6.075
angles: 90.00 90.00 90.00
Positions (direct):
1 Sc 0.000 0.000 0.000
2 Sc 0.000 0.500 0.500
3 Sc 0.500 0.000 0.500
4 Sc 0.500 0.500 0.000
5 Tc 0.000 0.000 0.500
6 Tc 0.000 0.500 0.000
7 Tc 0.500 0.000 0.000
8 Tc 0.500 0.500 0.500
9 W 0.250 0.250 0.750
10 W 0.250 0.750 0.250
11 W 0.750 0.250 0.250
12 W 0.750 0.750 0.750

***

Record 9
ScTcW2 | SCAN | single point on PBEsol structure

Results
- ΔE_f (meV per atom) = -94.3
- total DFT energy (no corrections) (eV per atom) = -47.26
- crystal system = orthorhombic
- relative energy among the computed polymorphs (eV per atom) = 0.000
- DOS(E_F) (states/eV/f.u.) = 1.5

abc: 3.129 4.418 9.222
angles: 90.00 90.00 90.00
Positions (direct):
1 Sc 0.000 0.000 0.000
2 Sc 0.500 0.500 0.500
3 Tc 0.000 0.000 0.500
4 Tc 0.500 0.500 0.000
5 W 0.000 0.500 0.237
6 W 0.000 0.500 0.763
7 W 0.500 0.000 0.263
8 W 0.500 0.000 0.737

***

Record 10
Sc2TcW | SCAN | single point on PBEsol structure

Results
- ΔE_f (meV per atom) = 140.9
- total DFT energy (no corrections) (eV per atom) = -33.16
- crystal system = orthorhombic
- relative energy among the computed polymorphs (eV per atom) = 0.253
- DOS(E_F) (states/eV/f.u.) = 3.5

abc: 3.233 4.568 4.568
angles: 90.00 90.00 90.00
Positions (direct):
1 Sc 0.000 0.000 0.000
2 Sc 0.500 0.000 0.500
3 Tc 0.000 0.500 0.500
4 W 0.500 0.500 0.000

***

Record 11
Sc2TcW | SCAN | single point on PBEsol structure

Results
- ΔE_f (meV per atom) = 567.5
- total DFT energy (no corrections) (eV per atom) = -32.74
- crystal system = trigonal
- relative energy among the computed polymorphs (eV per atom) = 0.680
- DOS(E_F) (states/eV/f.u.) = 5.8

abc: 2.925 2.925 28.820
angles: 90.00 90.00 120.00
Positions (direct):
1 Sc 0.000 0.000 0.094
2 Sc 0.000 0.000 0.906
3 Sc 0.333 0.667 0.573
4 Sc 0.333 0.667 0.761
5 Sc 0.667 0.333 0.239
6 Sc 0.667 0.333 0.427
7 Tc 0.000 0.000 0.500
8 Tc 0.333 0.667 0.167
9 Tc 0.667 0.333 0.833
10 W 0.000 0.000 0.000
11 W 0.333 0.667 0.667
12 W 0.667 0.333 0.333

***

Record 12
ScTcW | SCAN | single point on PBEsol structure

Results
- ΔE_f (meV per atom) = -146.4
- total DFT energy (no corrections) (eV per atom) = -39.81
- crystal system = tetragonal
- relative energy among the computed polymorphs (eV per atom) = 0.000
- DOS(E_F) (states/eV/f.u.) = 2.1

abc: 3.123 3.123 10.060
angles: 90.00 90.00 90.00
Positions (direct):
1 Sc 0.000 0.000 0.000
2 Sc 0.500 0.500 0.500
3 Tc 0.000 0.000 0.676
4 Tc 0.500 0.500 0.176
5 W 0.000 0.000 0.313
6 W 0.500 0.500 0.813